Entry 1:
Below is an optimized crystal structure of CsSr2Li2Bi2, with properties calculated at the PBE level.

## Properties
* space-group type: R-3m
* magnetic moment: 0.040 μB per atom
* total energy: -2.8282 eV/atom
* density: 4.6 g/cm3

Cell lengths 11.599, 11.599, 11.599 Å; angles 26.26, 26.26, 26.26 degrees
Sites, in units of the cell vectors:
Cs 0.000 0.000 0.000
Sr 0.133 0.133 0.133
Sr 0.867 0.867 0.867
Li 0.424 0.424 0.424
Li 0.576 0.576 0.576
Bi 0.244 0.244 0.244
Bi 0.756 0.756 0.756

***

Entry 2:
Below is an optimized crystal structure of CsLiBiTe2, with properties calculated at the PBE level.

## Properties
* space-group type: Cmme
* magnetic moment: 0.000 μB per atom
* uncorrected formation energy: -2.63 eV/f.u.
* density: 5.1 g/cm3

Cell lengths 9.046, 9.046, 7.399 Å; angles 90.00, 90.00, 139.21 degrees
Sites, in units of the cell vectors:
Cs 0.250 0.750 0.757
Cs 0.750 0.250 0.243
Li 0.250 0.250 0.500
Li 0.750 0.750 0.500
Bi 0.000 0.000 0.000
Bi 0.500 0.500 0.000
Te 0.114 0.886 0.313
Te 0.386 0.614 0.313
Te 0.614 0.386 0.687
Te 0.886 0.114 0.687

***

Entry 3:
Below is an optimized crystal structure of CsLiBiTe, with properties calculated at the PBE level.

## Properties
* space-group type: P4/nmm
* magnetic moment: 0.000 μB per atom
* uncorrected formation energy: -2.71 eV/f.u.
* density: 5.1 g/cm3

Cell lengths 4.533, 4.533, 15.093 Å; angles 90.00, 90.00, 90.00 degrees
Sites, in units of the cell vectors:
Cs 0.250 0.250 0.246
Cs 0.750 0.750 0.754
Li 0.250 0.750 0.000
Li 0.750 0.250 0.000
Bi 0.250 0.750 0.500
Bi 0.750 0.250 0.500
Te 0.250 0.250 0.890
Te 0.750 0.750 0.110

***

Entry 4:
Below is an optimized crystal structure of CsLiTlBi, with properties calculated at the PBE level.

## Properties
* space-group type: R3m
* magnetic moment: 0.000 μB per atom
* offset from the most stable computed form: 0.000 eV per formula unit
* density: 5.9 g/cm3

Cell lengths 7.791, 7.791, 7.791 Å; angles 37.23, 37.23, 37.23 degrees
Sites, in units of the cell vectors:
Cs 0.000 0.000 0.000
Li 0.194 0.194 0.194
Tl 0.791 0.791 0.791
Bi 0.536 0.536 0.536

***

Entry 5:
Below is an optimized crystal structure of CsLiTlBi, with properties calculated at the PBE level.

## Properties
* space-group type: F-43m
* magnetic moment: 0.000 μB per atom
* offset from the most stable computed form: 0.723 eV per formula unit
* density: 6.6 g/cm3

Cell lengths 5.819, 5.819, 5.819 Å; angles 60.00, 60.00, 60.00 degrees
Sites, in units of the cell vectors:
Cs 0.000 0.000 0.000
Li 0.750 0.750 0.750
Tl 0.250 0.250 0.250
Bi 0.500 0.500 0.500

***

Entry 6:
Below is an optimized crystal structure of CsLiBiW2, with properties calculated at the PBE level.

## Properties
* space-group type: P4/mmm
* magnetic moment: 1.079 μB per atom
* total energy: -4.3439 eV/atom
* density: 9.6 g/cm3

Cell lengths 4.979, 4.979, 4.998 Å; angles 90.00, 90.00, 90.00 degrees
Sites, in units of the cell vectors:
Cs 0.000 0.000 0.000
Li 0.000 0.000 0.500
Bi 0.500 0.500 0.000
W 0.000 0.500 0.500
W 0.500 0.000 0.500

***

Entry 7:
Below is an optimized crystal structure of Cs2LiZnBi2, with properties calculated at the PBE level.

## Properties
* space-group type: Ibam
* magnetic moment: 0.000 μB per atom
* total energy: -2.4395 eV/atom
* density: 5.5 g/cm3

Cell lengths 10.188, 10.188, 10.188 Å; angles 138.52, 60.20, 138.39 degrees
Sites, in units of the cell vectors:
Cs 0.166 0.244 0.409
Cs 0.334 0.744 0.078
Cs 0.666 0.256 0.922
Cs 0.834 0.756 0.591
Li 0.250 0.250 0.000
Li 0.750 0.750 0.000
Zn 0.250 0.750 0.500
Zn 0.750 0.250 0.500
Bi 0.082 0.733 0.816
Bi 0.418 0.233 0.651
Bi 0.582 0.767 0.349
Bi 0.918 0.267 0.184

***

Entry 8:
Below is an optimized crystal structure of CsLi2Zn2Bi2, with properties calculated at the PBE level.

## Properties
* space-group type: R-3m
* magnetic moment: 0.000 μB per atom
* total energy: -2.4821 eV/atom
* density: 5.9 g/cm3

Cell lengths 10.640, 10.640, 10.640 Å; angles 25.46, 25.46, 25.46 degrees
Sites, in units of the cell vectors:
Cs 0.000 0.000 0.000
Li 0.144 0.144 0.144
Li 0.856 0.856 0.856
Zn 0.457 0.457 0.457
Zn 0.543 0.543 0.543
Bi 0.240 0.240 0.240
Bi 0.760 0.760 0.760

***

Entry 9:
Below is an optimized crystal structure of Cs2Mg12Bi7, with properties calculated at the PBE level.

## Properties
* space-group type: P-3
* magnetic moment: 0.000 μB per atom
* total energy: -2.4624 eV/atom
* density: 5.2 g/cm3

Cell lengths 12.541, 12.541, 4.772 Å; angles 90.00, 90.00, 120.00 degrees
Sites, in units of the cell vectors:
Cs 0.333 0.667 0.252
Cs 0.667 0.333 0.748
Mg 0.046 0.428 0.747
Mg 0.108 0.250 0.245
Mg 0.143 0.892 0.245
Mg 0.250 0.143 0.755
Mg 0.382 0.954 0.747
Mg 0.428 0.382 0.253
Mg 0.572 0.618 0.747
Mg 0.618 0.046 0.253
Mg 0.750 0.857 0.245
Mg 0.857 0.108 0.755
Mg 0.892 0.750 0.755
Mg 0.954 0.572 0.253
Bi 0.000 0.000 0.500
Bi 0.118 0.716 0.753
Bi 0.284 0.402 0.753
Bi 0.402 0.118 0.247
Bi 0.598 0.882 0.753
Bi 0.716 0.598 0.247
Bi 0.882 0.284 0.247

***

Entry 10:
Below is an optimized crystal structure of CsMg6Bi4, with properties calculated at the PBE level.

## Properties
* space-group type: I4/mmm
* magnetic moment: 0.000 μB per atom
* total energy: -2.6272 eV/atom
* density: 5.0 g/cm3

Cell lengths 15.297, 15.297, 15.297 Å; angles 161.20, 161.20, 26.72 degrees
Sites, in units of the cell vectors:
Cs 0.000 0.000 0.000
Mg 0.131 0.631 0.500
Mg 0.250 0.750 0.500
Mg 0.369 0.869 0.500
Mg 0.631 0.131 0.500
Mg 0.750 0.250 0.500
Mg 0.869 0.369 0.500
Bi 0.194 0.194 0.000
Bi 0.423 0.423 0.000
Bi 0.577 0.577 0.000
Bi 0.806 0.806 0.000

***

Entry 11:
Below is an optimized crystal structure of CsMg2Bi2, with properties calculated at the PBE level.

## Properties
* space-group type: P-1
* magnetic moment: 0.000 μB per atom
* offset from the most stable computed form: 0.322 eV per formula unit
* density: 4.9 g/cm3

Cell lengths 7.374, 7.785, 8.857 Å; angles 105.25, 103.32, 115.01 degrees
Sites, in units of the cell vectors:
Cs 0.137 0.387 0.274
Cs 0.863 0.613 0.726
Mg 0.225 0.275 0.761
Mg 0.463 0.012 0.238
Mg 0.537 0.988 0.762
Mg 0.775 0.725 0.239
Bi 0.237 0.986 0.474
Bi 0.477 0.726 0.953
Bi 0.523 0.274 0.047
Bi 0.763 0.014 0.526

***

Entry 12:
Below is an optimized crystal structure of CsMg3Bi2, with properties calculated at the PBE level.

## Properties
* space-group type: C2/m
* magnetic moment: 0.000 μB per atom
* total energy: -2.5425 eV/atom
* density: 4.9 g/cm3

Cell lengths 9.784, 9.784, 10.090 Å; angles 111.56, 111.56, 28.00 degrees
Sites, in units of the cell vectors:
Cs 0.143 0.143 0.054
Cs 0.857 0.857 0.946
Mg 0.041 0.041 0.395
Mg 0.323 0.323 0.558
Mg 0.421 0.421 0.371
Mg 0.579 0.579 0.629
Mg 0.677 0.677 0.442
Mg 0.959 0.959 0.605
Bi 0.194 0.194 0.659
Bi 0.480 0.480 0.796
Bi 0.520 0.520 0.204
Bi 0.806 0.806 0.341